[1]
The following is a GGA-PBE calculation of a relaxed Tm3InSn crystal, from Alexandria.

Cell: 8.533 8.533 10.897 Å, 96.01 96.01 42.78°
Fractional positions:
Tm1 0.176 0.213 0.259
Tm2 0.199 0.709 0.991
Tm3 0.213 0.176 0.759
Tm4 0.291 0.801 0.509
Tm5 0.385 0.414 0.230
Tm6 0.414 0.385 0.730
Tm7 0.586 0.615 0.270
Tm8 0.615 0.586 0.770
Tm9 0.709 0.199 0.491
Tm10 0.787 0.824 0.241
Tm11 0.801 0.291 0.009
Tm12 0.824 0.787 0.741
In1 0.120 0.564 0.476
In2 0.436 0.880 0.024
In3 0.564 0.120 0.976
In4 0.880 0.436 0.524
Sn1 0.000 0.500 0.000
Sn2 0.002 0.998 0.750
Sn3 0.500 0.000 0.500
Sn4 0.998 0.002 0.250

**Space-group type**: C2/c, No. 15
**Volume**: 535.56 Å³ per cell
**Energy of formation from the pure elements**: -0.367 eV/atom

=====

[2]
The following is a GGA-PBE calculation of a relaxed CaAlMo2 crystal, from Alexandria.

Cell: 3.486 3.486 6.672 Å, 90.00 90.00 90.00°
Fractional positions:
Ca1 0.000 0.000 0.000
Al1 0.000 0.000 0.500
Mo1 0.500 0.500 0.331
Mo2 0.500 0.500 0.669

**Space-group type**: P4/mmm, No. 123
**Volume**: 81.07 Å³ per cell
**Energy of formation from the pure elements**: 0.276 eV/atom

=====

[3]
The following is a GGA-PBE calculation of a relaxed Pu2Ga4Pd3 crystal, from Alexandria.

Cell: 8.114 8.114 7.686 Å, 90.00 90.00 138.49°
Fractional positions:
Pu1 0.104 0.896 0.901
Pu2 0.396 0.604 0.401
Pu3 0.604 0.396 0.599
Pu4 0.896 0.104 0.099
Ga1 0.179 0.821 0.516
Ga2 0.187 0.313 0.750
Ga3 0.313 0.187 0.250
Ga4 0.321 0.679 0.016
Ga5 0.679 0.321 0.984
Ga6 0.687 0.813 0.750
Ga7 0.813 0.687 0.250
Ga8 0.821 0.179 0.484
Pd1 0.000 0.000 0.500
Pd2 0.017 0.483 0.750
Pd3 0.483 0.017 0.250
Pd4 0.500 0.500 0.000
Pd5 0.517 0.983 0.750
Pd6 0.983 0.517 0.250

**Space-group type**: Cmce, No. 64
**Volume**: 335.40 Å³ per cell
**Energy of formation from the pure elements**: -0.564 eV/atom

=====

[4]
The following is a GGA-PBE calculation of a relaxed La3PrSm6Ho2 crystal, from Alexandria.

Cell: 6.318 6.318 12.118 Å, 95.01 95.01 120.02°
Fractional positions:
La1 0.000 0.000 0.000
La2 0.333 0.667 0.000
La3 0.667 0.333 0.000
Pr1 0.500 0.500 0.500
Sm1 0.083 0.418 0.254
Sm2 0.248 0.248 0.746
Sm3 0.418 0.083 0.254
Sm4 0.582 0.917 0.746
Sm5 0.752 0.752 0.254
Sm6 0.917 0.582 0.746
Ho1 0.167 0.833 0.500
Ho2 0.833 0.167 0.500

**Space-group type**: C2/m, No. 12
**Volume**: 412.36 Å³ per cell
**Energy of formation from the pure elements**: 0.019 eV/atom

=====

| no. | magnetic moment (μB/f.u.) |
| --- | --- |
| 1 | 0.00 |
| 2 | 0.00 |
| 3 | 11.35 |
| 4 | 0.00 |